Li2AlCu: optimized geometry, PBE-GGA.

a b c (Å): 4.1508 2.6252 5.3238
angles (deg): 78.54 90.00 90.00
Closest atoms and distances in Å follow each position.
Positions (direct):
Al 0.0000 0.4777 0.5277  4 Cu 2.58-2.78, 4 Li 2.59-2.85, 2 Al 2.63
Cu 0.5000 0.8187 0.7302  4 Al 2.58-2.78, 4 Li 2.61-2.86, 2 Cu 2.63
Li 0.0000 0.9952 0.0028  4 Li 2.55-2.63, 1 Al 2.59, 2 Cu 2.63
Li 0.5000 0.2084 0.2393  4 Li 2.55-2.63, 1 Cu 2.61, 2 Al 2.76

Summary:
Fermi-level density of states, states/eV per atom: 0.24
Energy, eV/atom: -3.05